The following is a PBE-GGA calculation of SrGdNO after structural relaxation, from OQMD.

Lattice parameters (Å, degrees): 7.1611 8.3678 5.0549 90.00 90.00 90.00
Atoms (fractional coordinates):
Sr  0.0844  0.1297  0.0000
Sr  0.4156  0.1297  0.5000
Sr  0.5844  0.8703  0.0000
Sr  0.9156  0.8703  0.5000
Gd  0.0848  0.6192  0.9971
Gd  0.4152  0.6192  0.4971
Gd  0.5848  0.3808  0.9971
Gd  0.9152  0.3808  0.4971
N  0.0923  0.6117  0.5057
N  0.4077  0.6117  0.0057
N  0.5923  0.3883  0.5057
N  0.9077  0.3883  0.0057
O  0.0687  0.1384  0.5006
O  0.4313  0.1384  0.0006
O  0.5687  0.8616  0.5006
O  0.9313  0.8616  0.0006

Results
Crystal system: orthorhombic
E (eV/cell): -111.777
Distance to the lowest polymorph of the same formula (meV per atom): 0
Space group: No. 29

***

The following is a PBE-GGA calculation of Sm3AlBrCl2 after structural relaxation, from OQMD.

Lattice parameters (Å, degrees): 5.8721 5.8721 5.7855 90.00 90.00 90.00
Atoms (fractional coordinates):
Sm  0.0000  0.0000  0.0000
Sm  0.0000  0.5000  0.5000
Sm  0.5000  0.0000  0.5000
Al  0.0000  0.0000  0.5000
Br  0.5000  0.5000  0.5000
Cl  0.0000  0.5000  0.0000
Cl  0.5000  0.0000  0.0000

Results
Crystal system: tetragonal
E (eV/cell): -32.635
Space group: No. 123

***

The following is a PBE-GGA calculation of SrSmHg after structural relaxation, from OQMD.

Lattice parameters (Å, degrees): 5.2350 5.2350 5.2350 60.00 60.00 60.00
Atoms (fractional coordinates):
Sr  0.0000  0.0000  0.0000
Sm  0.7500  0.7500  0.7500
Hg  0.5000  0.5000  0.5000

Results
Crystal system: cubic
E (eV/cell): -5.853
Space group: No. 216

***

The following is a PBE-GGA calculation of Li2NdO3 after structural relaxation, from OQMD.

Lattice parameters (Å, degrees): 5.8342 5.8342 5.2023 98.95 98.95 121.95
Atoms (fractional coordinates):
Li  0.0000  0.0000  0.0000
Li  0.1218  0.8782  0.5000
Li  0.5000  0.5000  0.5000
Li  0.8782  0.1218  0.5000
Nd  0.3331  0.6669  0.0000
Nd  0.6669  0.3331  0.0000
O  0.0720  0.3825  0.2577
O  0.2539  0.2539  0.7462
O  0.3825  0.0720  0.2577
O  0.6175  0.9280  0.7423
O  0.7461  0.7461  0.2538
O  0.9280  0.6175  0.7423

Results
Crystal system: monoclinic
E (eV/cell): -71.773
Space group: No. 12

***

The following is a PBE-GGA calculation of KScIr2O8 after structural relaxation, from OQMD.

Lattice parameters (Å, degrees): 5.7024 5.7024 7.0601 90.00 90.00 120.00
Atoms (fractional coordinates):
K  0.0000  0.0000  0.0000
Sc  0.0000  0.0000  0.5000
Ir  0.3333  0.6667  0.7828
Ir  0.6667  0.3333  0.2172
O  0.1642  0.3284  0.6787
O  0.1642  0.8358  0.6787
O  0.3284  0.1642  0.3213
O  0.3333  0.6667  0.0347
O  0.6667  0.3333  0.9653
O  0.6716  0.8358  0.6787
O  0.8358  0.1642  0.3213
O  0.8358  0.6716  0.3213

Results
Crystal system: trigonal
E (eV/cell): -78.101
Space group: No. 164

***

The following is a PBE-GGA calculation of Gd2Si2O5 after structural relaxation, from OQMD.

Lattice parameters (Å, degrees): 3.4897 3.4897 9.5729 90.00 90.00 90.00
Atoms (fractional coordinates):
Gd  0.0000  0.0000  0.2442
Gd  0.0000  0.0000  0.7558
Si  0.5000  0.5000  0.0000
Si  0.5000  0.5000  0.5000
O  0.0000  0.0000  0.0000
O  0.0000  0.5000  0.3820
O  0.0000  0.5000  0.6180
O  0.5000  0.0000  0.3820
O  0.5000  0.0000  0.6180

Results
Crystal system: tetragonal
E (eV/cell): -61.797
Distance to the lowest polymorph of the same formula (meV per atom): 332
Space group: No. 123